Entry 1:
First-principles (PBE) data for a relaxed BaMn2Cl crystal, as listed in Alexandria.

abc: 3.5505 3.5505 28.7134
angles: 90.00 90.00 120.00
Space group R-3m (No. 166, hexagonal axes)
Unique sites:
Ba  0.0000  0.0000  0.0000 x3
Mn  0.0000  0.0000  0.2343 x6
Cl  0.0000  0.0000  0.5000 x3

Computed properties:
Excess energy over the best structure of this formula in the dataset   419 meV/atom
Total DFT energy (no corrections)   -61.20 eV for the cell shown
M_tot   2.1884 μB/atom
Raw formation energy   427 meV/atom

---

Entry 2:
First-principles (PBE) data for a relaxed TbPrEr3 crystal, as listed in Alexandria.

abc: 3.5981 11.4917 8.6548
angles: 90.00 101.84 90.00
Space group P2_1/m (No. 11)
Unique sites:
Tb  0.1870  0.2500  0.3809 x2
Pr  0.4994  0.7500  0.9691 x2
Er  0.1565  0.7500  0.3024 x2
Er  0.3381  0.0006  0.6795 x4

Computed properties:
Excess energy over the best structure of this formula in the dataset   280 meV/atom
Total DFT energy (no corrections)   -43.26 eV for the cell shown
M_tot   0.0000 μB/atom

---

Entry 3:
First-principles (PBE) data for a relaxed NaY2HgF crystal, as listed in Alexandria.

abc: 5.7667 5.7667 5.1576
angles: 90.00 90.00 90.00
Space group P4/mmm (No. 123)
Unique sites:
Na  0.0000  0.0000  0.0000 x1
Y  0.0000  0.5000  0.5000 x2
Hg  0.5000  0.5000  0.5000 x1
F  0.5000  0.5000  0.0000 x1

Computed properties:
Total DFT energy (no corrections)   -16.55 eV for the cell shown
M_tot   0.0000 μB/atom
Raw formation energy   -26 meV/atom

---

Which formula does entry 1 have?
BaMn2Cl